The following is a DFT calculation (PBE) of a relaxed structure of Cs2ErLuO4. Values from VASP.

Structure (Quantum ESPRESSO input):
```
&SYSTEM
  ibrav = 0, nat = 8, ntyp = 4
/
ATOMIC_SPECIES
Cs 132.91 Cs.upf
Er 167.26 Er.upf
Lu 174.97 Lu.upf
O 16.00 O.upf
ATOMIC_POSITIONS crystal
Cs 0.3333 0.6667 0.2506
Cs 0.6667 0.3333 0.7494
Er 0.0000 0.0000 0.0000
Lu 0.0000 0.0000 0.5000
O 0.3333 0.6667 0.5804
O 0.3333 0.6667 0.9169
O 0.6667 0.3333 0.0831
O 0.6667 0.3333 0.4196
CELL_PARAMETERS angstrom
3.4779 0.0000 0.0000
-1.7389 3.0119 0.0000
0.0000 0.0000 13.5086
```

The following is a DFT calculation (PBE) of a relaxed structure of Dy5In4Ag. Values from VASP.

Structure (Quantum ESPRESSO input):
```
&SYSTEM
  ibrav = 0, nat = 10, ntyp = 3
/
ATOMIC_SPECIES
Dy 162.50 Dy.upf
In 114.82 In.upf
Ag 107.87 Ag.upf
ATOMIC_POSITIONS crystal
Dy 0.0000 0.0000 0.0000
Dy 0.0000 0.0000 0.2052
Dy 0.0000 0.0000 0.4089
Dy 0.0000 0.0000 0.5911
Dy 0.0000 0.0000 0.7948
In 0.5000 0.5000 0.1027
In 0.5000 0.5000 0.3080
In 0.5000 0.5000 0.6920
In 0.5000 0.5000 0.8973
Ag 0.5000 0.5000 0.5000
CELL_PARAMETERS angstrom
3.5782 0.0000 0.0000
0.0000 3.5782 0.0000
0.0000 0.0000 20.2950
```

no.,VASP energy (eV per atom)
1,-6.4839
2,-4.1184